[1]
This record from Alexandria via LeMat-Bulk describes TaPt3 after structural relaxation. The functional is PBEsol.

The total magnetization comes out at 0.00 μB per cell. The total energy is -8.950 eV per atom. As for the crystal system: orthorhombic. The value obtained for the formation energy is -0.589 eV per atom.

The space group is Pmmm (No. 47) and the conventional cell measures 2.7880, 3.9692 and 5.5624 Å, with angles of 90.00, 90.00 and 90.00 degrees. The distinct sites, in fractional coordinates, are Ta at (0.0000, 0.0000, 0.0000), Pt at (0.0000, 0.0000, 0.5000) and Pt at (0.5000, 0.5000, 0.2469).



[2]
This record from Alexandria via LeMat-Bulk describes TaPt3 after structural relaxation. The functional is PBEsol.

The total magnetization comes out at 0.00 μB per cell. The total energy is -9.099 eV per atom. As for the crystal system: monoclinic. The value obtained for the formation energy is -0.739 eV per atom.

The space group is P2_1/m (No. 11) and the conventional cell measures 4.8670, 5.5352 and 9.2699 Å, with angles of 90.00, 100.64 and 90.00 degrees. The distinct sites, in fractional coordinates, are Ta at (0.1213, 0.2500, 0.3774), Ta at (0.2877, 0.2500, 0.8729), Pt at (0.1097, 0.7500, 0.3760), Pt at (0.2084, 0.0013, 0.1230), Pt at (0.2926, 0.7500, 0.8720) and Pt at (0.3799, 0.5012, 0.6258).



[3]
This record from Alexandria via LeMat-Bulk describes TaPt after structural relaxation. The functional is PBEsol.

The total magnetization comes out at 0.00 μB per cell. The total energy is -10.122 eV per atom. As for the crystal system: trigonal. The value obtained for the formation energy is -0.365 eV per atom.

The space group is R-3m (No. 166, hexagonal axes) and the conventional cell measures 2.8268, 2.8268 and 13.9353 Å, with angles of 90.00, 90.00 and 120.00 degrees. The distinct sites, in fractional coordinates, are Ta at (0.0000, 0.0000, 0.0000) and Pt at (0.0000, 0.0000, 0.5000).



[4]
This record from Alexandria via LeMat-Bulk describes TaPt after structural relaxation. The functional is PBEsol.

The total magnetization comes out at 0.00 μB per cell. The total energy is -10.329 eV per atom. As for the crystal system: monoclinic. The value obtained for the formation energy is -0.572 eV per atom.

The space group is C2/m (No. 12) and the conventional cell measures 9.2765, 2.8452 and 4.9719 Å, with angles of 90.00, 99.89 and 90.00 degrees. The distinct sites, in fractional coordinates, are Ta at (0.1244, 0.0000, 0.3447) and Pt at (0.1229, 0.5000, 0.8538).



[5]
This record from Alexandria via LeMat-Bulk describes Ta2Pt after structural relaxation. The functional is PBEsol.

The total magnetization comes out at 0.00 μB per cell. The total energy is -11.098 eV per atom. As for the crystal system: orthorhombic. The value obtained for the formation energy is -0.409 eV per atom.

The space group is Cmcm (No. 63) and the conventional cell measures 4.0941, 12.7632 and 3.8105 Å, with angles of 90.00, 90.00 and 90.00 degrees. The distinct sites, in fractional coordinates, are Ta at (0.0000, 0.0766, 0.2500), Ta at (0.0000, 0.2467, 0.7500) and Pt at (0.0000, 0.4189, 0.2500).



[6]
This record from Alexandria via LeMat-Bulk describes Ta2Pt after structural relaxation. The functional is PBEsol.

The total magnetization comes out at 0.00 μB per cell. The total energy is -10.976 eV per atom. As for the crystal system: monoclinic. The value obtained for the formation energy is -0.287 eV per atom.

The space group is Cm (No. 8) and the conventional cell measures 10.6137, 2.8406 and 6.9861 Å, with angles of 90.00, 107.61 and 90.00 degrees. The distinct sites, in fractional coordinates, are Ta at (0.0000, 0.0000, 0.0000), Ta at (0.0477, 0.0000, 0.5861), Ta at (0.2177, 0.5000, 0.9176), Ta at (0.3556, 0.0000, 0.2701), Pt at (0.1458, 0.5000, 0.3235) and Pt at (0.3334, 0.0000, 0.6635).



[7]
This record from Alexandria via LeMat-Bulk describes TaPt after structural relaxation. The functional is PBEsol.

The total magnetization comes out at 0.00 μB per cell. The total energy is -9.855 eV per atom. As for the crystal system: hexagonal. The value obtained for the formation energy is -0.098 eV per atom.

The space group is P6_3/mmc (No. 194) and the conventional cell measures 4.0276, 4.0276 and 5.2823 Å, with angles of 90.00, 90.00 and 120.00 degrees. The distinct sites, in fractional coordinates, are Ta at (0.3333, 0.6667, 0.2500) and Pt at (0.0000, 0.0000, 0.0000).



[8]
This record from Alexandria via LeMat-Bulk describes Ta11Pt4 after structural relaxation. The functional is PBEsol.

The total magnetization comes out at 0.00 μB per cell. The total energy is -11.429 eV per atom. As for the crystal system: tetragonal. The value obtained for the formation energy is -0.368 eV per atom.

The space group is P4_2/mnm (No. 136) and the conventional cell measures 9.9256, 9.9256 and 5.2139 Å, with angles of 90.00, 90.00 and 90.00 degrees. The distinct sites, in fractional coordinates, are Ta at (0.0000, 0.0000, 0.0000), Ta at (0.0666, 0.2707, 0.0000), Ta at (0.1041, 0.1041, 0.5000), Ta at (0.1798, 0.8202, 0.2510) and Pt at (0.0380, 0.3631, 0.5000).



[9]
This record from Alexandria via LeMat-Bulk describes Ta3Pt after structural relaxation. The functional is PBEsol.

The total magnetization comes out at 0.00 μB per cell. The total energy is -8.989 eV per atom. As for the crystal system: cubic. The value obtained for the formation energy is 2.165 eV per atom.

The space group is Pm-3m (No. 221) and the conventional cell measures 4.8784, 4.8784 and 4.8784 Å, with angles of 90.00, 90.00 and 90.00 degrees. The distinct sites, in fractional coordinates, are Ta at (0.0000, 0.0000, 0.5000) and Pt at (0.0000, 0.0000, 0.0000).



[10]
This record from Alexandria via LeMat-Bulk describes Ta2Pt after structural relaxation. The functional is PBEsol.

The total magnetization comes out at 0.00 μB per cell. The total energy is -11.107 eV per atom. As for the crystal system: tetragonal. The value obtained for the formation energy is -0.418 eV per atom.

The space group is P4_2/mnm (No. 136) and the conventional cell measures 9.8678, 9.8678 and 5.1751 Å, with angles of 90.00, 90.00 and 90.00 degrees. The distinct sites, in fractional coordinates, are Ta at (0.0607, 0.2667, 0.0000), Ta at (0.1016, 0.1016, 0.5000), Ta at (0.1867, 0.8133, 0.2520), Pt at (0.0000, 0.0000, 0.0000) and Pt at (0.0359, 0.3625, 0.5000).



[11]
This record from Alexandria via LeMat-Bulk describes Ta3Pt after structural relaxation. The functional is PBEsol.

The total magnetization comes out at 0.00 μB per cell. The total energy is -11.423 eV per atom. As for the crystal system: trigonal. The value obtained for the formation energy is -0.269 eV per atom.

The space group is R-3m (No. 166, hexagonal axes) and the conventional cell measures 9.1566, 9.1566 and 2.7647 Å, with angles of 90.00, 90.00 and 120.00 degrees. The distinct sites, in fractional coordinates, are Ta at (0.0000, 0.5000, 0.0000) and Pt at (0.0000, 0.0000, 0.0000).



[12]
This record from Alexandria via LeMat-Bulk describes Ta3Pt after structural relaxation. The functional is PBEsol.

The total magnetization comes out at 0.00 μB per cell. The total energy is -11.306 eV per atom. As for the crystal system: orthorhombic. The value obtained for the formation energy is -0.152 eV per atom.

The space group is Cmmm (No. 65) and the conventional cell measures 5.8157, 8.2650 and 2.8189 Å, with angles of 90.00, 90.00 and 90.00 degrees. The distinct sites, in fractional coordinates, are Ta at (0.0000, 0.0000, 0.0000), Ta at (0.2500, 0.2500, 0.5000) and Pt at (0.0000, 0.5000, 0.0000).